No. 1
{
  "formula": "HgHSe3",
  "functional": "GGA-PBE",
  "state": "relaxed",
  "lattice_angstrom": [[4.5036, 0.0000, 0.0000], [0.0000, 4.5036, 0.0000], [0.0000, 0.0000, 4.5036]],
  "species": ["Hg", "H", "Se", "Se", "Se"],
  "fractional_positions": [[0.0000, 0.0000, 0.0000], [0.5000, 0.5000, 0.5000], [0.0000, 0.5000, 0.5000], [0.5000, 0.0000, 0.5000], [0.5000, 0.5000, 0.0000]],
  "relative_energy_mev_per_atom": 0,
  "sg": "Pm-3m, No. 221"
}

No. 2
{
  "formula": "Hg2H2Se",
  "functional": "GGA-PBE",
  "state": "relaxed",
  "lattice_angstrom": [[2.9473, 0.0000, 0.0000], [-0.0048, 3.6670, 0.0000], [-1.2605, -0.0064, 8.3993]],
  "species": ["Hg", "Hg", "H", "H", "Se"],
  "fractional_positions": [[0.1459, 0.4960, 0.3176], [0.8541, 0.5040, 0.6824], [0.1554, 0.9964, 0.3392], [0.8446, 0.0036, 0.6608], [0.5000, 0.5000, 0.0000]],
  "relative_energy_mev_per_atom": 0,
  "sg": "P-1, No. 2"
}

No. 3
{
  "formula": "Hg5H4Se2",
  "functional": "GGA-PBE",
  "state": "relaxed",
  "lattice_angstrom": [[6.1007, 0.0000, 0.0000], [-1.4942, 6.2966, 0.0000], [-0.7959, -1.5918, 7.1558]],
  "species": ["Hg", "Hg", "Hg", "Hg", "Hg", "H", "H", "H", "H", "Se", "Se"],
  "fractional_positions": [[0.0000, 0.0000, 0.0000], [0.1277, 0.6809, 0.2914], [0.4181, 0.6604, 0.9517], [0.5819, 0.3396, 0.0483], [0.8723, 0.3191, 0.7086], [0.2801, 0.2747, 0.4423], [0.3855, 0.3041, 0.5146], [0.6145, 0.6959, 0.4854], [0.7199, 0.7253, 0.5577], [0.2479, 0.9083, 0.7651], [0.7521, 0.0917, 0.2349]],
  "energy_ev_per_atom": -2.020,
  "sg": "P-1, No. 2"
}

No. 4
{
  "formula": "HgH2Se2",
  "functional": "GGA-PBE",
  "state": "relaxed",
  "lattice_angstrom": [[8.1662, 0.0000, 0.0000], [0.0000, 8.1662, 0.0000], [0.0000, 0.0000, 2.7231]],
  "species": ["Hg", "Hg", "H", "H", "H", "H", "Se", "Se", "Se", "Se"],
  "fractional_positions": [[0.0000, 0.0000, 0.0000], [0.5000, 0.5000, 0.0000], [0.0324, 0.4676, 0.5000], [0.4676, 0.9676, 0.5000], [0.5324, 0.0324, 0.5000], [0.9676, 0.5324, 0.5000], [0.2502, 0.2498, 0.0000], [0.2498, 0.7498, 0.0000], [0.7502, 0.2502, 0.0000], [0.7498, 0.7502, 0.0000]],
  "relative_energy_mev_per_atom": 242,
  "sg": "P4/mbm, No. 127"
}

No. 5
{
  "formula": "HgH4Se",
  "functional": "GGA-PBE",
  "state": "relaxed",
  "lattice_angstrom": [[3.0908, 0.0000, 0.0000], [0.0024, 5.1611, 0.0000], [1.1775, 1.2231, 13.3477]],
  "species": ["Hg", "Hg", "H", "H", "H", "H", "H", "H", "H", "H", "Se", "Se"],
  "fractional_positions": [[0.2174, 0.2288, 0.0866], [0.7826, 0.7712, 0.9134], [0.0488, 0.2870, 0.3771], [0.0583, 0.1413, 0.3830], [0.4521, 0.2912, 0.6230], [0.4531, 0.2836, 0.5675], [0.5469, 0.7164, 0.4325], [0.5479, 0.7088, 0.3770], [0.9417, 0.8587, 0.6170], [0.9512, 0.7130, 0.6229], [0.1993, 0.7179, 0.1329], [0.8007, 0.2821, 0.8671]],
  "energy_ev_per_atom": -2.886,
  "sg": "P-1, No. 2"
}

No. 6
{
  "formula": "Hg2HSe",
  "functional": "GGA-PBE",
  "state": "relaxed",
  "lattice_angstrom": [[5.0757, 0.0000, 0.0000], [0.0000, 5.0757, 0.0000], [0.0000, 0.0000, 13.3259]],
  "species": ["Hg", "Hg", "Hg", "Hg", "Hg", "Hg", "Hg", "Hg", "H", "H", "H", "H", "Se", "Se", "Se", "Se"],
  "fractional_positions": [[0.1511, 0.2500, 0.1250], [0.2500, 0.6511, 0.3750], [0.2500, 0.8489, 0.8750], [0.3489, 0.2500, 0.6250], [0.6511, 0.7500, 0.6250], [0.7500, 0.1511, 0.8750], [0.7500, 0.3489, 0.3750], [0.8489, 0.7500, 0.1250], [0.0000, 0.0000, 0.0000], [0.0000, 0.5000, 0.2500], [0.5000, 0.0000, 0.7500], [0.5000, 0.5000, 0.5000], [0.0000, 0.0000, 0.5000], [0.0000, 0.5000, 0.7500], [0.5000, 0.0000, 0.2500], [0.5000, 0.5000, 0.0000]],
  "relative_energy_mev_per_atom": 0,
  "sg": "I-42d, No. 122"
}

No. 7
{
  "formula": "HgHSe2",
  "functional": "GGA-PBE",
  "state": "relaxed",
  "lattice_angstrom": [[5.0304, 0.0000, 0.0000], [0.0000, 7.8442, 0.0000], [-1.6082, 0.0000, 5.2241]],
  "species": ["Hg", "Hg", "H", "H", "Se", "Se", "Se", "Se"],
  "fractional_positions": [[0.0000, 0.2403, 0.0000], [0.0000, 0.7597, 0.0000], [0.0575, 0.0000, 0.5124], [0.1172, 0.5000, 0.4649], [0.2884, 0.0000, 0.8120], [0.3170, 0.5000, 0.3011], [0.7723, 0.0000, 0.2312], [0.7774, 0.5000, 0.7030]],
  "relative_energy_mev_per_atom": 0,
  "sg": "Pm, No. 6"
}

No. 8
{
  "formula": "HgHSe2",
  "functional": "GGA-PBE",
  "state": "relaxed",
  "lattice_angstrom": [[3.5355, 0.0000, 0.0000], [-1.7678, 3.0619, 0.0000], [0.0000, 0.0000, 22.3950]],
  "species": ["Hg", "Hg", "Hg", "H", "H", "H", "Se", "Se", "Se", "Se", "Se", "Se"],
  "fractional_positions": [[0.0000, 0.0000, 0.0000], [0.3333, 0.6667, 0.6667], [0.6667, 0.3333, 0.3333], [0.0000, 0.0000, 0.5000], [0.3333, 0.6667, 0.1667], [0.6667, 0.3333, 0.8333], [0.0000, 0.0000, 0.1144], [0.0000, 0.0000, 0.8856], [0.3333, 0.6667, 0.5523], [0.3333, 0.6667, 0.7810], [0.6667, 0.3333, 0.2190], [0.6667, 0.3333, 0.4477]],
  "relative_energy_mev_per_atom": 587,
  "sg": "R-3m, No. 166"
}

No. 9
{
  "formula": "HgHW2Se",
  "functional": "GGA-PBE",
  "state": "relaxed",
  "lattice_angstrom": [[5.2287, 0.0000, 0.0000], [0.0000, 5.2287, 0.0000], [0.0000, 0.0000, 3.3285]],
  "species": ["Hg", "H", "W", "W", "Se"],
  "fractional_positions": [[0.0000, 0.0000, 0.0000], [0.0000, 0.0000, 0.5000], [0.0000, 0.5000, 0.0000], [0.5000, 0.0000, 0.0000], [0.5000, 0.5000, 0.5000]],
  "energy_ev_per_atom": -4.727,
  "sg": "P4/mmm, No. 123"
}

No. 10
{
  "formula": "Si3HgH",
  "functional": "GGA-PBE",
  "state": "relaxed",
  "lattice_angstrom": [[5.0878, 0.0000, 0.0000], [0.0000, 5.0878, 0.0000], [0.0000, 0.0000, 5.0878]],
  "species": ["Si", "Si", "Si", "Hg", "H"],
  "fractional_positions": [[0.0000, 0.0000, 0.5000], [0.0000, 0.5000, 0.0000], [0.5000, 0.0000, 0.0000], [0.0000, 0.0000, 0.0000], [0.5000, 0.5000, 0.5000]],
  "relative_energy_mev_per_atom": 1053,
  "sg": "Pm-3m, No. 221"
}

No. 11
{
  "formula": "SiHg3H",
  "functional": "GGA-PBE",
  "state": "relaxed",
  "lattice_angstrom": [[4.5837, 0.0000, 0.0000], [0.0000, 4.5837, 0.0000], [0.0000, 0.0000, 4.5837]],
  "species": ["Si", "Hg", "Hg", "Hg", "H"],
  "fractional_positions": [[0.0000, 0.0000, 0.0000], [0.0000, 0.5000, 0.5000], [0.5000, 0.0000, 0.5000], [0.5000, 0.5000, 0.0000], [0.5000, 0.5000, 0.5000]],
  "relative_energy_mev_per_atom": 75,
  "sg": "Pm-3m, No. 221"
}

No. 12
{
  "formula": "Si3HgH",
  "functional": "GGA-PBE",
  "state": "relaxed",
  "lattice_angstrom": [[4.2031, 0.0000, 0.0000], [0.0000, 4.2031, 0.0000], [0.0000, 0.0000, 4.2031]],
  "species": ["Si", "Si", "Si", "Hg", "H"],
  "fractional_positions": [[0.0000, 0.0000, 0.5000], [0.0000, 0.5000, 0.0000], [0.5000, 0.0000, 0.0000], [0.5000, 0.5000, 0.5000], [0.0000, 0.0000, 0.0000]],
  "relative_energy_mev_per_atom": 0,
  "sg": "Pm-3m, No. 221"
}